Record 1
The following is a DFT calculation (PBE) of crystalline CsNi3Pb at its relaxed geometry.

```
CsNi3Pb
1.0
-1.9644 -4.6333 -0.6719
3.0929 -1.8313 3.5858
-3.5147 0.9781 3.5311
Cs Ni Pb
1 3 1
Cartesian
-1.1931 -2.7433 3.2225
1.5465 -0.9157 1.7929
-0.9822 -2.3167 -0.3359
-1.7573 0.4890 1.7655
0.0000 0.0000 0.0000
```

Distance to the lowest polymorph of the same formula   0 meV per atom
Symmetry   Pm-3m (221)
Calculated formation energy   0.94 eV per atom


Record 2
The following is a DFT calculation (PBE) of crystalline AcPd2Au at its relaxed geometry.

```
AcPd2Au
1.0
-0.1952 -4.2667 0.0148
1.2675 -0.0431 4.2770
-4.2723 0.1999 1.2681
Pd Au Ac
2 1 1
Cartesian
0.6337 -0.0216 2.1385
-2.1362 0.0999 0.6340
-0.0976 -2.1334 0.0074
-1.6001 -2.0550 2.7800
```

Distance to the lowest polymorph of the same formula   94 meV per atom
Symmetry   P4/mmm (123)
Calculated formation energy   -0.66 eV per atom


Record 3
The following is a DFT calculation (PBE) of crystalline NpPtBrO6 at its relaxed geometry.

```
NpPtBrO6
1.0
-1.9716 -4.3456 5.4569
4.9568 -6.1634 -3.1172
2.4069 6.9821 1.6149
O Np Br Pt
12 2 2 2
Cartesian
5.5154 -3.0968 1.3225
3.2008 -4.5633 0.5416
0.3385 0.5038 5.3385
2.1913 1.0365 3.4130
2.9267 2.6573 1.3777
5.0535 -4.0306 -1.3839
1.0693 -3.3522 2.5318
6.2508 -1.4760 -0.7128
4.3228 -0.1747 1.4228
-0.8587 -2.0508 4.6674
-0.1233 -0.4301 2.6321
2.4654 -6.1841 2.5769
-0.9858 -2.1728 2.7285
1.4926 -5.2545 1.1698
2.9103 -0.8005 0.4141
2.4817 -2.7264 3.5405
1.2035 3.4911 0.8074
0.2176 1.3183 3.5359
```

Symmetry   Imma (74)
E_form (uncorrected)   -1.2519 eV per atom


Record 4
The following is a DFT calculation (PBE) of crystalline Be2InPb at its relaxed geometry.

```
Be2InPb
1.0
-7.6223 0.9701 1.5157
-7.6645 -1.0163 -1.2492
-7.2274 -2.3967 1.8322
Be Pb In
2 1 1
Cartesian
-0.0052 -0.0006 0.0005
-11.2518 -1.2209 1.0489
-16.8856 -1.8322 1.5740
-5.6285 -0.6107 0.5247
```

Distance to the lowest polymorph of the same formula   304 meV per atom
Symmetry   R-3m (166)
Calculated formation energy   0.65 eV per atom


Record 5
The following is a DFT calculation (PBE) of crystalline Ca2MnRh at its relaxed geometry.

```
Ca2MnRh
1.0
7.7345 -0.2318 -0.1395
6.7073 3.8586 -0.1395
6.7073 1.6844 3.4743
Mn Ca Rh
1 2 1
Cartesian
9.6906 2.4336 1.4641
4.5245 1.1362 0.6836
0.7591 0.1906 0.1147
16.7492 4.2062 2.5306
```

Symmetry   R3m (160)
Calculated formation energy   -0.10 eV per atom


Record 6
The following is a DFT calculation (PBE) of crystalline LaNdSm3Tm at its relaxed geometry.

```
LaNdSm3Tm
1.0
-1.6989 2.4466 5.1675
-4.6964 -1.7441 -4.1604
-0.4001 -10.7512 4.9587
Tm Nd La Sm
2 2 2 6
Cartesian
-1.8209 -2.8494 0.7504
-4.9744 -7.1993 5.2154
0.0000 0.0000 0.0000
-0.2000 -5.3756 2.4794
-1.2103 -1.4890 3.7493
-5.5851 -8.5597 2.2165
-3.7810 -5.5066 1.3641
-2.2008 -8.2419 3.1787
-3.5963 -0.5430 -0.9252
-3.1991 -9.5056 6.8910
-3.0144 -4.5421 4.6017
-4.5946 -1.8068 2.7872
```

Symmetry   Cmcm (63)
Calculated formation energy   0.11 eV per atom


Record 7
The following is a DFT calculation (PBE) of crystalline TlRhW2 at its relaxed geometry.

```
TlRhW2
1.0
3.0642 0.0000 0.0000
0.0000 2.9063 -0.0106
0.0000 0.2236 7.9292
W Rh Tl
2 1 1
Cartesian
1.5321 1.6852 2.0418
0.0000 2.6588 0.2279
0.0000 0.2009 3.7562
1.5321 1.6030 5.8466
```

Distance to the lowest polymorph of the same formula   0 meV per atom
Symmetry   Pm (6)
Calculated formation energy   0.36 eV per atom


Record 8
The following is a DFT calculation (PBE) of crystalline SmMgIr2 at its relaxed geometry.

```
SmMgIr2
1.0
-0.3939 -1.4886 2.6863
2.2973 -0.0850 2.0742
-2.4120 6.9204 5.2659
Mg Sm Ir
1 1 2
Cartesian
0.0000 0.0000 0.0000
-0.2543 2.6734 5.0132
-0.0818 1.2258 2.4518
-0.4268 4.1210 7.5746
```

Distance to the lowest polymorph of the same formula   414 meV per atom
Symmetry   R-3m (166)
Calculated formation energy   -0.02 eV per atom


Record 9
The following is a DFT calculation (PBE) of crystalline Pm7Tm4Pu at its relaxed geometry.

```
Pm7Tm4Pu
1.0
-4.1369 -1.8370 3.1063
-3.9751 -3.9987 -2.8075
4.2873 -11.8698 3.5412
Pm Tm Pu
7 4 1
Cartesian
-2.0684 -0.9185 1.5532
-1.1179 -8.2278 3.3476
-1.2240 -12.8608 0.4664
-1.5678 -14.2564 4.0343
-2.2569 -3.4491 -0.1943
-2.7067 -9.4777 0.4924
-2.6007 -4.8447 3.3736
-4.0062 -6.3782 0.5949
-0.5392 -6.3930 0.3524
-3.2855 -11.3125 3.4876
0.1816 -11.3274 3.2451
0.0000 0.0000 0.0000
```

Symmetry   C2/m (12)
Calculated formation energy   0.23 eV per atom


Record 10
The following is a DFT calculation (PBE) of crystalline Er2Hf3Si4 at its relaxed geometry.

```
Er2Hf3Si4
1.0
-4.5293 -4.4861 2.9766
5.1952 -3.8237 -3.2984
3.9226 0.0786 6.0873
Hf Er Si
6 4 8
Cartesian
1.1327 -4.2574 6.3881
3.4558 -3.9738 -0.6227
0.3330 -4.1549 -0.1609
4.5589 -1.8726 1.3944
2.8501 -2.0253 4.0505
1.7385 -6.2059 1.7150
1.3400 -1.0332 0.6242
4.8943 -4.9673 2.6926
-0.3058 -3.2639 3.0729
3.2486 -7.1980 5.1412
2.0311 -6.3453 -0.9528
-0.9072 -5.7662 1.7311
6.0075 -4.0680 0.2152
2.2460 -4.7278 3.9939
5.4957 -2.4650 4.0343
2.5574 -1.8859 6.7182
2.3426 -3.5034 1.7716
-1.4189 -4.1632 5.5502
```

Symmetry   P2_1/c (14)
E_form (uncorrected)   -0.8316 eV per atom


Record 11
The following is a DFT calculation (PBE) of crystalline DyGe4 at its relaxed geometry.

```
DyGe4
1.0
-2.3645 -4.7298 -0.7897
4.1930 -2.4665 2.2183
-2.3267 0.3617 4.8001
Ge Dy
4 1
Cartesian
0.9142 -3.5982 0.7143
0.9331 -1.0524 3.5092
-2.3456 -2.1840 2.0052
0.0000 0.0000 0.0000
-0.2491 -3.4173 3.1144
```

Symmetry   Pm-3m (221)
Calculated formation energy   0.86 eV per atom


Record 12
The following is a DFT calculation (PBE) of crystalline SrTa2Cd at its relaxed geometry.

```
SrTa2Cd
1.0
3.5291 0.0000 0.0000
0.0000 3.5291 0.0000
0.0000 0.0000 7.9314
Sr Ta Cd
1 2 1
Cartesian
1.7646 1.7646 6.0297
1.7646 1.7646 1.7295
0.0000 0.0000 0.5641
0.0000 0.0000 3.5739
```

Symmetry   P4mm (99)
Calculated formation energy   0.37 eV per atom


Record 13
The following is a DFT calculation (PBE) of crystalline Cs3PuCd2Br9 at its relaxed geometry.

```
Cs3PuCd2Br9
1.0
-7.5942 1.8206 2.2689
3.4763 -6.8828 2.5841
3.5386 4.7908 7.9998
Br Cd Cs Pu
9 2 3 1
Cartesian
2.7858 -3.8191 5.1938
-0.9633 -2.9203 6.3139
-2.0590 -2.5311 2.4265
-1.6489 0.1500 8.9348
1.7382 -3.4414 1.2921
-3.7971 0.9103 1.1345
-3.3651 3.5478 7.6590
1.0696 -0.4213 3.9181
0.3840 2.6490 6.5389
0.3338 -3.2402 3.7171
-0.9131 2.9689 9.1357
0.0000 0.0000 0.0000
2.1971 -0.7175 7.9296
-2.7764 0.4462 4.9233
1.7693 2.3954 3.9999
```

Symmetry   P-3m1 (164)
E_form (uncorrected)   -1.3794 eV per atom


Record 14
The following is a DFT calculation (PBE) of crystalline Mg3Zn2Rh at its relaxed geometry.

```
Mg3Zn2Rh
1.0
-2.6862 0.3525 1.6291
-2.1392 0.8566 -3.7323
0.7448 -8.1359 0.1432
Mg Zn Rh
3 2 1
Cartesian
-2.4038 -4.5192 0.2610
-2.4127 0.6045 -1.0516
-1.6768 -2.4076 -2.2210
-2.3186 -5.1477 -2.5157
-1.7620 -1.7791 0.5557
0.0000 0.0000 0.0000
```

Symmetry   P-1 (2)
Calculated formation energy   -0.23 eV per atom


Record 15
The following is a DFT calculation (PBE) of crystalline Ti4AlC2 at its relaxed geometry.

```
Ti4AlC2
1.0
3.1623 0.0000 0.0000
-1.5811 5.2802 0.0000
0.0000 0.0000 11.1662
C Ti Al
4 8 2
Cartesian
0.0000 1.4183 4.9209
1.5811 3.8619 10.5039
1.5811 3.8619 6.2453
0.0000 1.4183 0.6622
1.5811 0.0000 5.5831
1.5811 2.7246 4.4442
1.5811 4.3467 8.3746
0.0000 2.5557 6.7220
1.5811 0.0000 0.0000
1.5811 2.7246 1.1389
0.0000 0.9335 2.7915
0.0000 2.5557 10.0273
0.0000 4.1082 2.7915
1.5811 1.1720 8.3746
```

Symmetry   Cmcm (63)
Calculated formation energy   -0.61 eV per atom